12
Lattice="4.874 0.000 0.000 0.000 4.874 0.000 0.000 0.000 14.536" Properties=species:S:1:pos:R:3 comment="NaAc2Sn9 | Alexandria via LeMat-Bulk | PBE | optimized geometry" ef_mev_per_atom=-367 final_energy_ev_per_atom=-4.164 pbc="T T T"
Sn 0.000 2.437 7.268
Sn 2.437 0.000 7.268
Sn 2.437 2.437 4.726
Sn 2.437 2.437 0.000
Sn 0.000 2.437 12.276
Sn 2.437 0.000 12.276
Sn 2.437 2.437 9.810
Sn 2.437 0.000 2.259
Sn 0.000 2.437 2.259
Na 0.000 0.000 0.000
Ac 0.000 0.000 4.822
Ac 0.000 0.000 9.714